Entry 1:
Entry from Alexandria via LeMat-Bulk: Rb3Be2Br8 after structural relaxation (GGA-PBE).

```
data_Rb3Be2Br8
_cell_length_a 10.5180
_cell_length_b 10.5180
_cell_length_c 10.5180
_cell_angle_alpha 40.79
_cell_angle_beta 40.79
_cell_angle_gamma 40.79
_space_group_name_H-M_alt 'P 1'
_space_group_IT_number 1
loop_
_space_group_symop_operation_xyz
'x,y,z'
loop_
_atom_site_label
_atom_site_type_symbol
_atom_site_fract_x
_atom_site_fract_y
_atom_site_fract_z
_atom_site_occupancy
Rb1 Rb 0.0000 0.0000 0.0000 1
Rb2 Rb 0.2110 0.2110 0.2110 1
Rb3 Rb 0.7890 0.7890 0.7890 1
Be1 Be 0.4100 0.4100 0.4100 1
Be2 Be 0.5900 0.5900 0.5900 1
Br1 Br 0.2396 0.7276 0.7276 1
Br2 Br 0.2724 0.2724 0.7604 1
Br3 Br 0.2724 0.7604 0.2724 1
Br4 Br 0.3341 0.3341 0.3341 1
Br5 Br 0.6659 0.6659 0.6659 1
Br6 Br 0.7276 0.2396 0.7276 1
Br7 Br 0.7276 0.7276 0.2396 1
Br8 Br 0.7604 0.2724 0.2724 1
```

Computed properties:
Its theoretical density is 3385 kg/m3. The total magnetization comes out at 0.83 μB/f.u. Its total energy is -3.076 eV per atom. Its uncorrected formation energy is -120.65 kJ/mol of atoms.

Entry 2:
Entry from Alexandria via LeMat-Bulk: RbBe3Br after structural relaxation (GGA-PBE).

```
data_RbBe3Br
_cell_length_a 5.1124
_cell_length_b 5.1124
_cell_length_c 5.1124
_cell_angle_alpha 90.00
_cell_angle_beta 90.00
_cell_angle_gamma 90.00
_space_group_name_H-M_alt 'P 1'
_space_group_IT_number 1
loop_
_space_group_symop_operation_xyz
'x,y,z'
loop_
_atom_site_label
_atom_site_type_symbol
_atom_site_fract_x
_atom_site_fract_y
_atom_site_fract_z
_atom_site_occupancy
Rb1 Rb 0.0000 0.0000 0.0000 1
Be1 Be 0.0000 0.5000 0.5000 1
Be2 Be 0.5000 0.0000 0.5000 1
Be3 Be 0.5000 0.5000 0.0000 1
Br1 Br 0.5000 0.5000 0.5000 1
```

Computed properties:
Its theoretical density is 2391 kg/m3. The total magnetization comes out at 0.00 μB/f.u. Its total energy is -1.271 eV per atom. Its uncorrected formation energy is 144.01 kJ/mol of atoms.

Entry 3:
Entry from Alexandria via LeMat-Bulk: Rb2BeBr5 after structural relaxation (GGA-PBE).

```
data_Rb2BeBr5
_cell_length_a 7.2054
_cell_length_b 7.2054
_cell_length_c 7.4218
_cell_angle_alpha 114.31
_cell_angle_beta 114.31
_cell_angle_gamma 98.41
_space_group_name_H-M_alt 'P 1'
_space_group_IT_number 1
loop_
_space_group_symop_operation_xyz
'x,y,z'
loop_
_atom_site_label
_atom_site_type_symbol
_atom_site_fract_x
_atom_site_fract_y
_atom_site_fract_z
_atom_site_occupancy
Rb1 Rb 0.2373 0.7627 0.0000 1
Rb2 Rb 0.7627 0.2373 0.0000 1
Be1 Be 0.8877 0.8877 0.3756 1
Br1 Br 0.2103 0.8681 0.5124 1
Br2 Br 0.3179 0.3179 0.0905 1
Br3 Br 0.7090 0.7090 0.4827 1
Br4 Br 0.7188 0.7188 0.9968 1
Br5 Br 0.8681 0.2103 0.5124 1
```

Computed properties:
Its theoretical density is 3251 kg/m3. The total magnetization comes out at 0.99 μB/f.u. Its total energy is -2.961 eV per atom. Its uncorrected formation energy is -116.58 kJ/mol of atoms.

Entry 4:
Entry from Alexandria via LeMat-Bulk: RbBe3Br after structural relaxation (GGA-PBE).

```
data_RbBe3Br
_cell_length_a 6.5197
_cell_length_b 6.5197
_cell_length_c 6.5197
_cell_angle_alpha 90.00
_cell_angle_beta 90.00
_cell_angle_gamma 90.00
_space_group_name_H-M_alt 'P 1'
_space_group_IT_number 1
loop_
_space_group_symop_operation_xyz
'x,y,z'
loop_
_atom_site_label
_atom_site_type_symbol
_atom_site_fract_x
_atom_site_fract_y
_atom_site_fract_z
_atom_site_occupancy
Rb1 Rb 0.0000 0.0000 0.0000 1
Be1 Be 0.0000 0.0000 0.5000 1
Be2 Be 0.0000 0.5000 0.0000 1
Be3 Be 0.5000 0.0000 0.0000 1
Br1 Br 0.5000 0.5000 0.5000 1
```

Computed properties:
Its theoretical density is 1153 kg/m3. The total magnetization comes out at 0.00 μB/f.u. Its total energy is -0.873 eV per atom. Its uncorrected formation energy is 182.43 kJ/mol of atoms.